No. 1
This record from Alexandria describes a geometry-optimized Ac2SiPd6Rh structure. The functional is PBE-GGA.

Summary:
* symmetry: C2/m (12)
* E_tot: -5.872 eV/atom
* formation energy (no corrections): -6.57 eV per formula unit

```
Ac2SiPd6Rh
1.0
-1.662 0.239 6.288
-0.301 -6.936 1.081
3.101 -4.925 6.250
Ac Pd Rh Si
2 6 1 1
direct
0.271 0.729 0.464
0.729 0.271 0.536
0.751 0.752 0.979
0.254 0.747 0.854
0.248 0.249 0.482
0.249 0.248 0.021
0.752 0.751 0.518
0.746 0.253 0.146
0.000 0.000 0.000
0.500 0.500 0.000
```



No. 2
This record from Alexandria describes a geometry-optimized La2As3Pd4Au structure. The functional is PBE-GGA.

Summary:
* symmetry: P-4m2 (115)
* calculated formation energy: -0.844 eV/atom
* E_tot: -5.629 eV/atom

```
La2As3Pd4Au
1.0
4.377 0.000 0.000
0.000 4.377 0.000
0.000 0.000 10.586
Pd As La Au
4 3 2 1
direct
0.500 0.000 0.643
0.500 0.500 0.000
0.000 0.500 0.357
0.000 0.000 0.000
0.000 0.000 0.500
0.500 0.000 0.872
0.000 0.500 0.128
0.000 0.500 0.754
0.500 0.000 0.246
0.500 0.500 0.500
```



No. 3
This record from Alexandria describes a geometry-optimized LiY2CuH structure. The functional is PBE-GGA.

Summary:
* symmetry: P4/mmm (123)
* E_tot: -4.597 eV/atom

```
LiY2CuH
1.0
4.906 0.000 0.000
0.000 4.906 0.000
0.000 0.000 3.792
Y Cu Li H
2 1 1 1
direct
0.500 0.000 0.000
0.000 0.500 0.000
0.000 0.000 0.500
0.500 0.500 0.500
0.000 0.000 0.000
```



No. 4
This record from Alexandria describes a geometry-optimized GaSO5 structure. The functional is PBE-GGA.

Summary:
* symmetry: C2/c (15)
* E_tot: -5.255 eV/atom
* formation energy (no corrections): -4.84 eV per formula unit

```
GaSO5
1.0
4.803 0.088 0.134
1.607 4.527 0.134
2.466 1.775 6.405
O S Ga
10 2 2
direct
0.748 0.318 0.532
0.113 0.887 0.750
0.822 0.737 0.125
0.887 0.113 0.250
0.318 0.748 0.032
0.682 0.252 0.968
0.737 0.822 0.625
0.178 0.263 0.875
0.263 0.178 0.375
0.252 0.682 0.468
0.000 0.000 0.000
0.000 0.000 0.500
0.528 0.472 0.250
0.472 0.528 0.750
```



No. 5
This record from Alexandria describes a geometry-optimized Ni2AgMo structure. The functional is PBE-GGA.

Summary:
* symmetry: P4/mmm (123)
* calculated formation energy: 0.320 eV/atom
* E_tot: -5.991 eV/atom

```
Ni2AgMo
1.0
2.725 0.000 0.000
0.000 4.504 0.000
0.000 0.000 4.504
Ni Ag Mo
2 1 1
direct
0.000 0.000 0.000
0.000 0.500 0.500
0.500 0.500 0.000
0.500 0.000 0.500
```



No. 6
This record from Alexandria describes a geometry-optimized Au5Br4 structure. The functional is PBE-GGA.

Summary:
* symmetry: P6_3/mcm (193)
* E_tot: -2.157 eV/atom
* formation energy (no corrections): 3.67 eV per formula unit

```
Au5Br4
1.0
-0.227 -1.614 8.059
2.232 -5.870 -5.307
7.019 2.108 0.620
Br Au
8 10
direct
0.587 0.587 0.250
0.000 0.000 0.000
0.587 0.000 0.750
0.413 0.413 0.750
0.000 0.413 0.250
0.000 0.587 0.750
0.000 0.000 0.500
0.413 0.000 0.250
0.333 0.667 0.500
0.667 0.333 0.500
0.728 0.000 0.250
0.333 0.667 0.000
0.000 0.728 0.250
0.667 0.333 0.000
0.272 0.000 0.750
0.272 0.272 0.250
0.728 0.728 0.750
0.000 0.272 0.750
```



No. 7
This record from Alexandria describes a geometry-optimized KCa3Fe structure. The functional is PBE-GGA.

Summary:
* symmetry: Pm-3m (221)
* calculated formation energy: 1.787 eV/atom
* E_tot: -1.326 eV/atom

```
KCa3Fe
1.0
-1.201 -1.058 -5.562
-2.179 -5.162 1.452
-5.226 2.395 0.673
Fe Ca K
1 3 1
direct
0.500 0.500 0.500
0.500 0.000 0.000
0.000 0.500 0.000
0.000 0.000 0.500
0.000 0.000 0.000
```



No. 8
This record from Alexandria describes a geometry-optimized Be2Ir2Pb structure. The functional is PBE-GGA.

Summary:
* symmetry: I4/mmm (139)
* calculated formation energy: 0.044 eV/atom
* E_tot: -5.733 eV/atom

```
Be2Ir2Pb
1.0
3.720 0.000 0.000
0.000 3.720 0.000
1.860 1.860 5.464
Pb Ir Be
1 2 2
direct
0.000 0.000 0.000
0.376 0.376 0.249
0.624 0.624 0.751
0.250 0.750 0.500
0.750 0.250 0.500
```



No. 9
This record from Alexandria describes a geometry-optimized ReMo2Rh structure. The functional is PBE-GGA.

Summary:
* symmetry: I-42d (122)
* calculated formation energy: 0.746 eV/atom
* E_tot: -9.619 eV/atom

```
ReMo2Rh
1.0
3.872 0.000 0.000
0.000 3.872 0.000
1.936 1.936 8.895
Mo Rh Re
4 2 2
direct
0.118 0.625 0.250
0.375 0.368 0.750
0.875 0.882 0.750
0.632 0.125 0.250
0.500 0.500 0.000
0.250 0.750 0.500
0.750 0.250 0.500
0.000 0.000 0.000
```



Q: The lowest E_tot belongs to which entry?
A: ReMo2Rh



What did the eighth record say?
This record from Alexandria describes a geometry-optimized Be2Ir2Pb structure. The functional is PBE-GGA.

Summary:
* symmetry: I4/mmm (139)
* calculated formation energy: 0.044 eV/atom
* E_tot: -5.733 eV/atom

```
Be2Ir2Pb
1.0
3.720 0.000 0.000
0.000 3.720 0.000
1.860 1.860 5.464
Pb Ir Be
1 2 2
direct
0.000 0.000 0.000
0.376 0.376 0.249
0.624 0.624 0.751
0.250 0.750 0.500
0.750 0.250 0.500
```



Q: E_tot of number 6 (Au5Br4)?
A: -2.157 eV/atom